This record from the Alexandria database describes a geometry-optimized BaSbW3 structure. The functional is PBE.

Unit cell a=5.088 b=5.088 c=5.088 alpha=90.00 beta=90.00 gamma=90.00
Atoms (fractional coordinates):
1 Ba 0.000 0.000 0.000
2 Sb 0.500 0.500 0.500
3 W 0.000 0.500 0.500
4 W 0.500 0.000 0.500
5 W 0.500 0.500 0.000

Properties
Offset from the most stable computed form: 0.0000 eV per atom
Raw total energy: -6.79 eV per atom
Raw formation energy: 2.1898 eV per atom


This record from the Alexandria database describes a geometry-optimized Ba2SbW structure. The functional is PBE.

Unit cell a=3.758 b=3.758 c=9.927 alpha=90.00 beta=90.00 gamma=90.00
Atoms (fractional coordinates):
1 Ba 0.000 0.000 0.000
2 Ba 0.500 0.500 0.425
3 Sb 0.000 0.000 0.656
4 W 0.500 0.500 0.761

Properties
Raw total energy: -4.86 eV per atom
Raw formation energy: 0.3705 eV per atom


This record from the Alexandria database describes a geometry-optimized BaSbW3 structure. The functional is PBE.

Unit cell a=5.054 b=5.054 c=5.054 alpha=90.00 beta=90.00 gamma=90.00
Atoms (fractional coordinates):
1 Ba 0.000 0.000 0.000
2 Sb 0.500 0.500 0.500
3 W 0.000 0.000 0.500
4 W 0.000 0.500 0.000
5 W 0.500 0.000 0.000

Properties
Offset from the most stable computed form: 1.4858 eV per atom
Raw total energy: -5.31 eV per atom
Raw formation energy: 3.6756 eV per atom


This record from the Alexandria database describes a geometry-optimized BaSb2W structure. The functional is PBE.

Unit cell a=3.486 b=3.486 c=8.402 alpha=90.00 beta=90.00 gamma=90.00
Atoms (fractional coordinates):
1 Ba 0.000 0.000 0.000
2 Sb 0.500 0.500 0.312
3 Sb 0.500 0.500 0.688
4 W 0.000 0.000 0.500

Properties
Offset from the most stable computed form: 0.0000 eV per atom
Raw total energy: -5.76 eV per atom
Raw formation energy: 0.0187 eV per atom


This record from the Alexandria database describes a geometry-optimized Ba2SbW structure. The functional is PBE.

Unit cell a=3.392 b=3.392 c=10.662 alpha=90.00 beta=90.00 gamma=90.00
Atoms (fractional coordinates):
1 Ba 0.000 0.000 0.240
2 Ba 0.000 0.000 0.760
3 Sb 0.500 0.500 0.500
4 W 0.500 0.500 0.000

Properties
Raw total energy: -4.53 eV per atom
Raw formation energy: 0.6962 eV per atom


This record from the Alexandria database describes a geometry-optimized Ba2SbW structure. The functional is PBE.

Unit cell a=7.057 b=7.057 c=7.057 alpha=147.43 beta=133.21 gamma=58.17
Atoms (fractional coordinates):
1 Ba 0.000 0.000 0.000
2 Ba 0.701 0.201 0.500
3 Sb 0.413 0.413 0.000
4 W 0.259 0.759 0.500

Properties
Raw total energy: -4.80 eV per atom
Raw formation energy: 0.4348 eV per atom


This record from the Alexandria database describes a geometry-optimized BaSb2W structure. The functional is PBE.

Unit cell a=5.155 b=5.155 c=4.274 alpha=90.00 beta=90.00 gamma=101.20
Atoms (fractional coordinates):
1 Ba 0.000 0.000 0.000
2 Sb 0.000 0.500 0.500
3 Sb 0.500 0.000 0.500
4 W 0.500 0.500 0.000

Properties
Offset from the most stable computed form: 0.6695 eV per atom
Raw total energy: -5.09 eV per atom
Raw formation energy: 0.6882 eV per atom


This record from the Alexandria database describes a geometry-optimized Ba2SbW structure. The functional is PBE.

Unit cell a=4.397 b=4.412 c=7.119 alpha=90.00 beta=90.00 gamma=90.00
Atoms (fractional coordinates):
1 Ba 0.000 0.000 0.246
2 Ba 0.000 0.000 0.754
3 Sb 0.500 0.500 0.000
4 W 0.500 0.500 0.500

Properties
Raw total energy: -4.57 eV per atom
Raw formation energy: 0.6611 eV per atom


This record from the Alexandria database describes a geometry-optimized Ba2SbW structure. The functional is PBE.

Unit cell a=11.593 b=11.593 c=11.593 alpha=17.43 beta=17.43 gamma=17.43
Atoms (fractional coordinates):
1 Ba 0.246 0.246 0.246
2 Ba 0.754 0.754 0.754
3 Sb 0.000 0.000 0.000
4 W 0.500 0.500 0.500

Properties
Raw total energy: -4.31 eV per atom
Raw formation energy: 0.9170 eV per atom


This record from the Alexandria database describes a geometry-optimized BaSb2W structure. The functional is PBE.

Unit cell a=8.574 b=8.574 c=8.574 alpha=155.73 beta=153.74 gamma=36.06
Atoms (fractional coordinates):
1 Ba 0.000 0.000 0.000
2 Sb 0.325 0.825 0.500
3 Sb 0.636 0.636 0.000
4 W 0.759 0.259 0.500

Properties
Offset from the most stable computed form: 0.1010 eV per atom
Raw total energy: -5.66 eV per atom
Raw formation energy: 0.1196 eV per atom


This record from the Alexandria database describes a geometry-optimized BaSbW structure. The functional is PBE.

Unit cell a=5.203 b=5.203 c=5.203 alpha=60.00 beta=60.00 gamma=60.00
Atoms (fractional coordinates):
1 Ba 0.000 0.000 0.000
2 Sb 0.500 0.500 0.500
3 W 0.750 0.750 0.750

Properties
Offset from the most stable computed form: 0.5730 eV per atom
Raw total energy: -5.31 eV per atom
Raw formation energy: 1.0268 eV per atom


This record from the Alexandria database describes a geometry-optimized BaSb2W structure. The functional is PBE.

Unit cell a=4.949 b=4.949 c=4.553 alpha=90.00 beta=90.00 gamma=90.00
Atoms (fractional coordinates):
1 Ba 0.000 0.000 0.000
2 Sb 0.000 0.500 0.500
3 Sb 0.500 0.000 0.500
4 W 0.500 0.500 0.000

Properties
Offset from the most stable computed form: 0.6872 eV per atom
Raw total energy: -5.07 eV per atom
Raw formation energy: 0.7059 eV per atom